(1)
Here is NdHo2Mg3Ir3 after structural relaxation from OQMD via LeMat-Bulk. Energies are from PBE-GGA.

Cell lengths 4.080, 12.659, 7.281 Å; angles 90.00, 90.00, 90.00 degrees
Space group Amm2 (No. 38)
Unique sites:
1 Nd 0.000 0.000 0.000 [2 per cell]
2 Ho 0.000 0.204 0.617 [4 per cell]
3 Mg 0.500 0.000 0.656 [2 per cell]
4 Mg 0.500 0.123 0.292 [4 per cell]
5 Ir 0.000 0.000 0.418 [2 per cell]
6 Ir 0.500 0.171 0.912 [4 per cell]

(2)
Here is NdHo2Mg3Ir2Pd after structural relaxation from OQMD via LeMat-Bulk. Energies are from PBE-GGA.

Cell lengths 4.034, 12.868, 7.356 Å; angles 90.00, 90.00, 90.00 degrees
Space group Amm2 (No. 38)
Unique sites:
1 Nd 0.000 0.000 0.000 [2 per cell]
2 Ho 0.000 0.208 0.626 [4 per cell]
3 Mg 0.500 0.000 0.665 [2 per cell]
4 Mg 0.500 0.125 0.296 [4 per cell]
5 Ir 0.500 0.171 0.917 [4 per cell]
6 Pd 0.000 0.000 0.424 [2 per cell]

(3)
Here is Nd2HoMg3Ir2Pd after structural relaxation from OQMD via LeMat-Bulk. Energies are from PBE-GGA.

Cell lengths 4.069, 12.857, 7.484 Å; angles 90.00, 90.00, 90.00 degrees
Space group Amm2 (No. 38)
Unique sites:
1 Nd 0.000 0.209 0.000 [4 per cell]
2 Ho 0.000 0.000 0.623 [2 per cell]
3 Mg 0.500 0.000 0.960 [2 per cell]
4 Mg 0.500 0.122 0.334 [4 per cell]
5 Ir 0.500 0.161 0.706 [4 per cell]
6 Pd 0.000 0.000 0.215 [2 per cell]

(4)
Here is NdHo2Mg3Ir2Pt after structural relaxation from OQMD via LeMat-Bulk. Energies are from PBE-GGA.

Cell lengths 4.054, 12.761, 7.353 Å; angles 90.00, 90.00, 90.00 degrees
Space group Amm2 (No. 38)
Unique sites:
1 Nd 0.000 0.000 0.000 [2 per cell]
2 Ho 0.000 0.206 0.622 [4 per cell]
3 Mg 0.500 0.000 0.660 [2 per cell]
4 Mg 0.500 0.125 0.294 [4 per cell]
5 Ir 0.500 0.171 0.914 [4 per cell]
6 Pt 0.000 0.000 0.422 [2 per cell]

(5)
Here is Ho3Mg3IrPd2 after structural relaxation from OQMD via LeMat-Bulk. Energies are from PBE-GGA.

Cell lengths 7.2877, 7.2877, 4.1299 Å; angles 90.00, 90.00, 120.00 degrees
Space group P-62m (No. 189)
Unique sites:
1 Ho 0.0000 0.4029 0.0000 [3 per cell]
2 Mg 0.0000 0.7581 0.5000 [3 per cell]
3 Ir 0.0000 0.0000 0.0000 [1 per cell]
4 Pd 0.3333 0.6667 0.5000 [2 per cell]

(6)
Here is TbHo2Mg3Ir2Pd after structural relaxation from OQMD via LeMat-Bulk. Energies are from PBE-GGA.

Cell lengths 4.012, 12.725, 7.335 Å; angles 90.00, 90.00, 90.00 degrees
Space group Amm2 (No. 38)
Unique sites:
1 Tb 0.000 0.000 0.000 [2 per cell]
2 Ho 0.000 0.208 0.624 [4 per cell]
3 Mg 0.500 0.000 0.665 [2 per cell]
4 Mg 0.500 0.125 0.292 [4 per cell]
5 Ir 0.500 0.168 0.916 [4 per cell]
6 Pd 0.000 0.000 0.418 [2 per cell]

(7)
Here is Ho3Mg3IrPt2 after structural relaxation from OQMD via LeMat-Bulk. Energies are from PBE-GGA.

Cell lengths 7.2778, 7.2778, 4.0924 Å; angles 90.00, 90.00, 120.00 degrees
Space group P-62m (No. 189)
Unique sites:
1 Ho 0.0000 0.4047 0.0000 [3 per cell]
2 Mg 0.0000 0.7564 0.5000 [3 per cell]
3 Ir 0.0000 0.0000 0.0000 [1 per cell]
4 Pt 0.3333 0.6667 0.5000 [2 per cell]

(8)
Here is SmHo2Mg3Ir2Pt after structural relaxation from OQMD via LeMat-Bulk. Energies are from PBE-GGA.

Cell lengths 4.042, 12.742, 7.331 Å; angles 90.00, 90.00, 90.00 degrees
Space group Amm2 (No. 38)
Unique sites:
1 Sm 0.000 0.000 0.000 [2 per cell]
2 Ho 0.000 0.206 0.621 [4 per cell]
3 Mg 0.500 0.000 0.662 [2 per cell]
4 Mg 0.500 0.124 0.293 [4 per cell]
5 Ir 0.500 0.170 0.914 [4 per cell]
6 Pt 0.000 0.000 0.419 [2 per cell]

(9)
Here is Sm2HoMg3Ir2Pt after structural relaxation from OQMD via LeMat-Bulk. Energies are from PBE-GGA.

Cell lengths 4.063, 12.766, 7.395 Å; angles 90.00, 90.00, 90.00 degrees
Space group Amm2 (No. 38)
Unique sites:
1 Sm 0.000 0.208 0.000 [4 per cell]
2 Ho 0.000 0.000 0.618 [2 per cell]
3 Mg 0.500 0.000 0.960 [2 per cell]
4 Mg 0.500 0.123 0.331 [4 per cell]
5 Ir 0.500 0.163 0.706 [4 per cell]
6 Pt 0.000 0.000 0.211 [2 per cell]

(10)
Here is YHo2Mg3Ir2Pt after structural relaxation from OQMD via LeMat-Bulk. Energies are from PBE-GGA.

Cell lengths 4.030, 12.683, 7.301 Å; angles 90.00, 90.00, 90.00 degrees
Space group Amm2 (No. 38)
Unique sites:
1 Y 0.000 0.000 0.000 [2 per cell]
2 Ho 0.000 0.206 0.381 [4 per cell]
3 Mg 0.500 0.000 0.339 [2 per cell]
4 Mg 0.500 0.124 0.711 [4 per cell]
5 Ir 0.500 0.168 0.088 [4 per cell]
6 Pt 0.000 0.000 0.585 [2 per cell]

(11)
Here is HoTm2Mg3Ir3 after structural relaxation from OQMD via LeMat-Bulk. Energies are from PBE-GGA.

Cell lengths 4.029, 12.490, 7.203 Å; angles 90.00, 90.00, 90.00 degrees
Space group Amm2 (No. 38)
Unique sites:
1 Ho 0.000 0.000 0.000 [2 per cell]
2 Tm 0.000 0.204 0.613 [4 per cell]
3 Mg 0.500 0.000 0.655 [2 per cell]
4 Mg 0.500 0.123 0.287 [4 per cell]
5 Ir 0.000 0.000 0.411 [2 per cell]
6 Ir 0.500 0.168 0.909 [4 per cell]

(12)
Here is YHo2Mg3Ir3 after structural relaxation from OQMD via LeMat-Bulk. Energies are from PBE-GGA.

Cell lengths 4.045, 12.572, 7.238 Å; angles 90.00, 90.00, 90.00 degrees
Space group Amm2 (No. 38)
Unique sites:
1 Y 0.000 0.000 0.000 [2 per cell]
2 Ho 0.000 0.204 0.614 [4 per cell]
3 Mg 0.500 0.000 0.655 [2 per cell]
4 Mg 0.500 0.122 0.287 [4 per cell]
5 Ir 0.000 0.000 0.412 [2 per cell]
6 Ir 0.500 0.168 0.909 [4 per cell]

Final energy for every record listed, in sequence, given in eV per atom: -5.67, -5.28, -5.28, -5.47, -4.87, -5.29, -5.25, -5.47, -5.47, -5.68, -5.67, -5.89.